Entry 1:
RbLa2Tb3Te6 after structural relaxation. Source: Alexandria via LeMat-Bulk, functional PBE.

Lattice parameters (Å, degrees): 10.216 10.216 9.287 104.51 104.51 25.16
Element x y z (fractional)
Rb 0.000 0.000 0.000
La 0.329 0.329 0.657
La 0.671 0.671 0.343
Tb 0.000 0.000 0.500
Tb 0.337 0.337 0.178
Tb 0.663 0.663 0.822
Te 0.162 0.162 0.590
Te 0.176 0.176 0.076
Te 0.499 0.499 0.272
Te 0.501 0.501 0.728
Te 0.824 0.824 0.924
Te 0.838 0.838 0.410

crystal system = monoclinic
E_form (uncorrected) = -1.40 eV per atom
spin magnetization = 0.00 μB per cell

---

Entry 2:
RbLa2Tc2 after structural relaxation. Source: Alexandria via LeMat-Bulk, functional PBE.

Lattice parameters (Å, degrees): 6.170 6.170 6.170 128.83 128.83 75.29
Element x y z (fractional)
Rb 0.000 0.000 0.000
La 0.250 0.750 0.500
La 0.750 0.250 0.500
Tc 0.375 0.375 0.000
Tc 0.625 0.625 0.000

crystal system = tetragonal
formation energy from the elements = 16.3 kcal/mol of atoms
spin magnetization = 0.00 μB per cell

---

Entry 3:
RbLa3Tc after structural relaxation. Source: Alexandria via LeMat-Bulk, functional PBE.

Lattice parameters (Å, degrees): 5.731 5.731 5.731 90.00 90.00 90.00
Element x y z (fractional)
Rb 0.000 0.000 0.000
La 0.000 0.500 0.500
La 0.500 0.000 0.500
La 0.500 0.500 0.000
Tc 0.500 0.500 0.500

crystal system = cubic
formation energy from the elements = 4.6 kcal/mol of atoms
spin magnetization = 0.00 μB per cell

---

Entry 4:
RbLaTc2 after structural relaxation. Source: Alexandria via LeMat-Bulk, functional PBE.

Lattice parameters (Å, degrees): 5.174 5.174 5.174 60.00 60.00 60.00
Element x y z (fractional)
Rb 0.000 0.000 0.000
La 0.500 0.500 0.500
Tc 0.250 0.250 0.250
Tc 0.750 0.750 0.750

crystal system = cubic
formation energy from the elements = 36.1 kcal/mol of atoms
spin magnetization = 4.04 μB per cell

---

Entry 5:
RbLa2Tc2 after structural relaxation. Source: Alexandria via LeMat-Bulk, functional PBE.

Lattice parameters (Å, degrees): 8.996 8.996 3.854 90.00 90.00 90.00
Element x y z (fractional)
Rb 0.000 0.000 0.000
Rb 0.500 0.500 0.000
La 0.161 0.339 0.500
La 0.339 0.839 0.500
La 0.661 0.161 0.500
La 0.839 0.661 0.500
Tc 0.089 0.589 0.000
Tc 0.411 0.089 0.000
Tc 0.589 0.911 0.000
Tc 0.911 0.411 0.000

crystal system = tetragonal
formation energy from the elements = 13.6 kcal/mol of atoms
spin magnetization = 1.21 μB per cell

---

Entry 6:
RbLa3Tc after structural relaxation. Source: Alexandria via LeMat-Bulk, functional PBE.

Lattice parameters (Å, degrees): 5.516 5.516 5.516 90.00 90.00 90.00
Element x y z (fractional)
Rb 0.000 0.000 0.000
La 0.000 0.000 0.500
La 0.000 0.500 0.000
La 0.500 0.000 0.000
Tc 0.500 0.500 0.500

crystal system = cubic
formation energy from the elements = 42.4 kcal/mol of atoms
spin magnetization = 0.10 μB per cell